Tl12Au3S5: relaxed, PBE.

Output
Calculated volume = 5342.62 Å³/cell
E_form (uncorrected) = -0.13 eV/atom

Structure (CIF):
```
data_Tl12Au3S5
_cell_length_a 17.482
_cell_length_b 17.482
_cell_length_c 17.482
_cell_angle_alpha 90.00
_cell_angle_beta 90.00
_cell_angle_gamma 90.00
_symmetry_space_group_name_H-M 'I a -3 d'
_symmetry_Int_Tables_number 230
_symmetry_space_group_name_Hall '-I 4bd 2c 3'
loop_
_atom_site_label
_atom_site_fract_x
_atom_site_fract_y
_atom_site_fract_z
Tl1 0.014 0.067 0.656
Au1 0.000 0.250 0.125
S1 0.000 0.000 0.000
S2 0.000 0.250 0.375
```